DFT (GGA-PBE) results for a relaxed structure of CaAcSbCl.

Cell lengths 5.5110, 5.5110, 5.5110 Å; angles 60.00, 60.00, 60.00 degrees
Fractional positions:
1 Ca 0.0000 0.0000 0.0000
2 Ac 0.5000 0.5000 0.5000
3 Sb 0.7500 0.7500 0.7500
4 Cl 0.2500 0.2500 0.2500

Properties
The calculation puts the total magnetization at 0.000 μB per formula unit. The raw formation energy is -5.0 eV/f.u. Its density of states at the Fermi level is 1.69 states/eV per cell.